This record from Alexandria describes a crystal of ZrTe2Pt relaxed with PBEsol. The functional is meta-GGA SCAN.

abc: 3.8665 4.2530 7.1682
angles: 107.26 105.65 90.00
Closest atoms and distances in Å follow each position.
Fractional coordinates of all 4 atoms:
Zr1 0.5000 0.0000 0.0000  4 Pt 2.87, 4 Te 2.90
Te1 0.6496 0.6496 0.2992  2 Pt 2.76, 2 Zr 2.90
Pt1 0.0000 0.5000 0.0000  4 Te 2.76, 4 Zr 2.87
Te2 0.3504 0.3504 0.7008  2 Pt 2.76, 2 Zr 2.90

* polymorph energy (0 for the lowest one): 0.0 meV/atom
* total magnetization: 0.000 μB/cell
* Fermi-level density of states: 2.760 states/eV/cell